[1]
Entry from Alexandria via LeMat-Bulk: a geometry-optimized FeAs2Se structure (PBE).

Output
Spin magnetization, μB per atom: 0.343
E, eV/cell: -21.0
Space-group type: Cm, No. 8
ΔE_f (raw), kJ/mol of atoms: 5.5

abc: 4.470 4.470 6.122
angles: 111.77 111.77 45.84
Element x y z (fractional)
Fe 0.000 0.000 0.000
As 0.281 0.281 0.986
As 0.418 0.418 0.693
Se 0.586 0.586 0.314

***

[2]
Entry from Alexandria via LeMat-Bulk: a geometry-optimized Fe2AsSe structure (PBE).

Output
Spin magnetization, μB per atom: 0.036
E, eV/cell: -48.6
Space-group type: I-42d, No. 122
ΔE_f (raw), kJ/mol of atoms: 18.0

abc: 6.427 6.427 6.427
angles: 131.75 131.75 70.63
Element x y z (fractional)
Fe 0.124 0.625 0.999
Fe 0.375 0.374 0.499
Fe 0.626 0.125 0.001
Fe 0.875 0.876 0.501
As 0.250 0.750 0.500
As 0.500 0.500 0.000
Se 0.000 0.000 0.000
Se 0.750 0.250 0.500

***

[3]
Entry from Alexandria via LeMat-Bulk: a geometry-optimized Fe2AsSe structure (PBE).

Output
Spin magnetization, μB per atom: 1.096
E, eV/cell: -24.5
Space-group type: Pmmm, No. 47
ΔE_f (raw), kJ/mol of atoms: 12.3

abc: 3.076 3.223 6.361
angles: 90.00 90.00 90.00
Element x y z (fractional)
Fe 0.000 0.000 0.195
Fe 0.000 0.000 0.805
As 0.500 0.500 0.000
Se 0.500 0.000 0.500

***

[4]
Entry from Alexandria via LeMat-Bulk: a geometry-optimized FeAs2Se structure (PBE).

Output
Spin magnetization, μB per atom: 0.629
E, eV/cell: -19.3
Space-group type: F-43m, No. 216
ΔE_f (raw), kJ/mol of atoms: 46.6

abc: 4.610 4.610 4.610
angles: 60.00 60.00 60.00
Element x y z (fractional)
Fe 0.000 0.000 0.000
As 0.250 0.250 0.250
As 0.500 0.500 0.500
Se 0.750 0.750 0.750

***

[5]
Entry from Alexandria via LeMat-Bulk: a geometry-optimized FeAs3Se structure (PBE).

Output
Spin magnetization, μB per atom: 0.015
E, eV/cell: -18.3
Space-group type: Pm-3m, No. 221
ΔE_f (raw), kJ/mol of atoms: 146.2

abc: 4.913 4.913 4.913
angles: 90.00 90.00 90.00
Element x y z (fractional)
Fe 0.000 0.000 0.000
As 0.000 0.500 0.500
As 0.500 0.000 0.500
As 0.500 0.500 0.000
Se 0.500 0.500 0.500

***

[6]
Entry from Alexandria via LeMat-Bulk: a geometry-optimized FeAs2Se structure (PBE).

Output
Spin magnetization, μB per atom: 0.679
E, eV/cell: -19.1
Space-group type: P4/mmm, No. 123
ΔE_f (raw), kJ/mol of atoms: 52.7

abc: 4.727 4.727 3.124
angles: 90.00 90.00 90.00
Element x y z (fractional)
Fe 0.000 0.000 0.000
As 0.000 0.500 0.500
As 0.500 0.000 0.500
Se 0.500 0.500 0.000

***

[7]
Entry from Alexandria via LeMat-Bulk: a geometry-optimized FeAs3Se structure (PBE).

Output
Spin magnetization, μB per atom: 0.211
E, eV/cell: -24.0
Space-group type: Pm-3m, No. 221
ΔE_f (raw), kJ/mol of atoms: 37.3

abc: 4.596 4.596 4.596
angles: 90.00 90.00 90.00
Element x y z (fractional)
Fe 0.000 0.000 0.000
As 0.000 0.000 0.500
As 0.000 0.500 0.000
As 0.500 0.000 0.000
Se 0.500 0.500 0.500

***

[8]
Entry from Alexandria via LeMat-Bulk: a geometry-optimized FeAs2Se structure (PBE).

Output
Spin magnetization, μB per atom: 0.622
E, eV/cell: -20.6
Space-group type: Imm2, No. 44
ΔE_f (raw), kJ/mol of atoms: 15.1

abc: 7.291 7.291 7.291
angles: 157.56 143.72 43.08
Element x y z (fractional)
Fe 0.000 0.000 0.000
As 0.444 0.444 0.000
As 0.842 0.342 0.500
Se 0.138 0.638 0.500

***

[9]
Entry from Alexandria via LeMat-Bulk: a geometry-optimized FeAs2Se structure (PBE).

Output
Spin magnetization, μB per atom: 0.000
E, eV/cell: -40.7
Space-group type: I-42d, No. 122
ΔE_f (raw), kJ/mol of atoms: 21.2

abc: 6.762 6.762 6.762
angles: 129.91 129.91 73.55
Element x y z (fractional)
Fe 0.000 0.000 0.000
Fe 0.750 0.250 0.500
As 0.056 0.625 0.931
As 0.375 0.306 0.431
As 0.694 0.125 0.069
As 0.875 0.944 0.569
Se 0.250 0.750 0.500
Se 0.500 0.500 0.000

***

[10]
Entry from Alexandria via LeMat-Bulk: a geometry-optimized Fe2AsSe structure (PBE).

Output
Spin magnetization, μB per atom: 1.154
E, eV/cell: -25.2
Space-group type: P4mm, No. 99
ΔE_f (raw), kJ/mol of atoms: -3.4

abc: 3.127 3.127 6.923
angles: 90.00 90.00 90.00
Element x y z (fractional)
Fe 0.000 0.000 0.000
Fe 0.500 0.500 0.195
As 0.500 0.500 0.821
Se 0.000 0.000 0.365

***

[11]
Entry from Alexandria via LeMat-Bulk: a geometry-optimized FeAs2Se structure (PBE).

Output
Spin magnetization, μB per atom: 0.000
E, eV/cell: -21.2
Space-group type: Amm2, No. 38
ΔE_f (raw), kJ/mol of atoms: 0.7

abc: 3.667 5.037 5.037
angles: 52.93 90.00 90.00
Element x y z (fractional)
Fe 0.000 0.000 0.000
As 0.000 0.494 0.494
As 0.500 0.833 0.833
Se 0.500 0.179 0.179

***

[12]
Entry from Alexandria via LeMat-Bulk: a geometry-optimized FeAs2Se structure (PBE).

Output
Spin magnetization, μB per atom: 0.327
E, eV/cell: -20.4
Space-group type: Immm, No. 71
ΔE_f (raw), kJ/mol of atoms: 21.4

abc: 6.097 6.097 6.097
angles: 152.04 137.77 51.41
Element x y z (fractional)
Fe 0.000 0.000 0.000
As 0.180 0.680 0.500
As 0.820 0.320 0.500
Se 0.500 0.500 0.000

***

[13]
Entry from Alexandria via LeMat-Bulk: a geometry-optimized FeAs2Se structure (PBE).

Output
Spin magnetization, μB per atom: 0.266
E, eV/cell: -20.5
Space-group type: P4mm, No. 99
ΔE_f (raw), kJ/mol of atoms: 18.7

abc: 2.876 2.876 8.715
angles: 90.00 90.00 90.00
Element x y z (fractional)
Fe 0.000 0.000 0.000
As 0.000 0.000 0.526
As 0.500 0.500 0.814
Se 0.500 0.500 0.159

***

[14]
Entry from Alexandria via LeMat-Bulk: a geometry-optimized FeAsSe3 structure (PBE).

Output
Spin magnetization, μB per atom: 0.466
E, eV/cell: -21.3
Space-group type: Pm-3m, No. 221
ΔE_f (raw), kJ/mol of atoms: 43.3

abc: 4.700 4.700 4.700
angles: 90.00 90.00 90.00
Element x y z (fractional)
Fe 0.000 0.000 0.000
As 0.500 0.500 0.500
Se 0.000 0.000 0.500
Se 0.000 0.500 0.000
Se 0.500 0.000 0.000

***

[15]
Entry from Alexandria via LeMat-Bulk: a geometry-optimized FeAs2Se structure (PBE).

Output
Spin magnetization, μB per atom: 0.512
E, eV/cell: -20.9
Space-group type: R3m, No. 160
ΔE_f (raw), kJ/mol of atoms: 7.2

abc: 8.816 8.816 8.816
angles: 21.15 21.15 21.15
Element x y z (fractional)
Fe 0.000 0.000 0.000
As 0.473 0.473 0.473
As 0.734 0.734 0.734
Se 0.276 0.276 0.276

***

[16]
Entry from Alexandria via LeMat-Bulk: a geometry-optimized Fe2AsSe structure (PBE).

Output
Spin magnetization, μB per atom: 1.134
E, eV/cell: -25.0
Space-group type: Cm, No. 8
ΔE_f (raw), kJ/mol of atoms: 0.5

abc: 4.150 4.150 6.290
angles: 105.92 105.92 44.14
Element x y z (fractional)
Fe 0.000 0.000 0.000
Fe 0.245 0.245 0.836
As 0.757 0.757 0.166
Se 0.490 0.490 0.663

***

[17]
Entry from Alexandria via LeMat-Bulk: a geometry-optimized FeAs2Se structure (PBE).

Output
Spin magnetization, μB per atom: 0.025
E, eV/cell: -20.9
Space-group type: P2/m, No. 10
ΔE_f (raw), kJ/mol of atoms: 7.6

abc: 2.772 2.769 10.048
angles: 90.00 90.17 90.00
Element x y z (fractional)
Fe 0.000 0.000 0.000
As 0.499 0.500 0.843
As 0.501 0.500 0.157
Se 0.000 0.000 0.500

***

[18]
Entry from Alexandria via LeMat-Bulk: a geometry-optimized FeAs2Se structure (PBE).

Output
Spin magnetization, μB per atom: 0.000
E, eV/cell: -21.0
Space-group type: C2/m, No. 12
ΔE_f (raw), kJ/mol of atoms: 5.2

abc: 3.821 3.821 7.918
angles: 105.31 105.31 43.82
Element x y z (fractional)
Fe 0.000 0.000 0.000
As 0.346 0.346 0.162
As 0.654 0.654 0.838
Se 0.500 0.500 0.500

***

[19]
Entry from Alexandria via LeMat-Bulk: a geometry-optimized FeAs2Se structure (PBE).

Output
Spin magnetization, μB per atom: 0.713
E, eV/cell: -20.3
Space-group type: C2/m, No. 12
ΔE_f (raw), kJ/mol of atoms: 22.3

abc: 4.591 4.591 4.582
angles: 109.34 109.34 109.65
Element x y z (fractional)
Fe 0.000 0.000 0.000
As 0.000 0.500 0.500
As 0.500 0.000 0.500
Se 0.500 0.500 0.000

***

[20]
Entry from Alexandria via LeMat-Bulk: a geometry-optimized Fe2AsSe structure (PBE).

Output
Spin magnetization, μB per atom: 1.324
E, eV/cell: -22.8
Space-group type: F-43m, No. 216
ΔE_f (raw), kJ/mol of atoms: 53.5

abc: 4.440 4.440 4.440
angles: 60.00 60.00 60.00
Element x y z (fractional)
Fe 0.000 0.000 0.000
Fe 0.250 0.250 0.250
As 0.750 0.750 0.750
Se 0.500 0.500 0.500